# 1
DFT (GGA-PBE) results for crystalline K2ZnGaF6 at its relaxed geometry.

Unit cell a=5.758 b=5.751 c=9.955 alpha=90.00 beta=125.21 gamma=90.00
Fractional coordinates of all 20 atoms:
F: 0.291 0.729 0.518
F: 0.785 0.502 0.249
F: 0.709 0.229 0.982
F: 0.291 0.771 0.018
F: 0.215 0.002 0.251
F: 0.752 0.728 0.982
F: 0.248 0.272 0.018
F: 0.752 0.772 0.482
F: 0.215 0.498 0.751
F: 0.248 0.228 0.518
F: 0.785 0.998 0.749
F: 0.709 0.271 0.482
K: 0.748 0.011 0.250
K: 0.252 0.511 0.250
K: 0.252 0.989 0.750
K: 0.748 0.489 0.750
Zn: 0.500 0.500 0.000
Zn: 0.500 0.000 0.500
Ga: 0.000 0.500 0.500
Ga: 0.000 0.000 0.000

**Total DFT energy (no corrections)**: -4.197 eV per atom
**SG**: P2_1/c (14)

# 2
DFT (GGA-PBE) results for crystalline La2NdGaF3 at its relaxed geometry.

Unit cell a=5.548 b=5.548 c=5.454 alpha=90.00 beta=90.00 gamma=90.00
Fractional coordinates of all 7 atoms:
F: 0.000 0.500 0.000
F: 0.500 0.500 0.500
F: 0.500 0.000 0.000
Nd: 0.000 0.000 0.000
La: 0.000 0.500 0.500
La: 0.500 0.000 0.500
Ga: 0.000 0.000 0.500

**Total DFT energy (no corrections)**: -5.440 eV per atom
**Total magnetization**: 0.00 μB per formula unit
**SG**: P4/mmm (123)

# 3
DFT (GGA-PBE) results for crystalline LiNdGaF6 at its relaxed geometry.

Unit cell a=5.154 b=5.154 c=9.832 alpha=90.00 beta=90.00 gamma=120.00
Fractional coordinates of all 18 atoms:
Nd: 0.000 0.000 0.500
Nd: 0.000 0.000 0.000
Li: 0.333 0.667 0.250
Li: 0.667 0.333 0.750
F: 0.020 0.651 0.368
F: 0.651 0.020 0.868
F: 0.980 0.349 0.632
F: 0.630 0.980 0.368
F: 0.349 0.980 0.132
F: 0.020 0.370 0.132
F: 0.980 0.630 0.868
F: 0.370 0.349 0.868
F: 0.630 0.651 0.132
F: 0.370 0.020 0.632
F: 0.349 0.370 0.368
F: 0.651 0.630 0.632
Ga: 0.667 0.333 0.250
Ga: 0.333 0.667 0.750

**Total DFT energy (no corrections)**: -5.328 eV per atom
**Total magnetization**: 0.78 μB per formula unit
**SG**: P-31c (163)

Question: What is the total DFT energy (no corrections) in the first record?
Answer: -4.197 eV per atom